Entry from Alexandria via LeMat-Bulk: a geometry-optimized MgFeBr4 structure (PBE-GGA).

Properties
* total magnetization: 5.01 μB/cell
* crystal system: cubic
* formation energy (no corrections): 0.817 eV per atom
* space-group type: F-43m (216)

Cell: 6.308 6.308 6.308 Å, 60.00 60.00 60.00°
Site moments in Bohr magnetons follow the coordinates.
Element x y z (fractional)
Mg 0.000 0.000 0.000  -0.08
Fe 0.750 0.750 0.750  3.41
Br 0.875 0.375 0.375  0.32
Br 0.375 0.375 0.875  0.32
Br 0.375 0.875 0.375  0.32
Br 0.375 0.375 0.375  0.32


Entry from Alexandria via LeMat-Bulk: a geometry-optimized Ga3HgB structure (PBE-GGA).

Properties
* total magnetization: 0.00 μB/cell
* crystal system: cubic
* space-group type: Pm-3m (221)
* distance to the lowest polymorph of the same formula: 0.0 meV/atom

Cell: 4.497 4.497 4.497 Å, 90.00 90.00 90.00°
Element x y z (fractional)
B 0.000 0.000 0.000
Hg 0.500 0.500 0.500
Ga 0.000 0.500 0.000
Ga 0.000 0.000 0.500
Ga 0.500 0.000 0.000


Entry from Alexandria via LeMat-Bulk: a geometry-optimized NaTl2AgBr5 structure (PBE-GGA).

Properties
* total magnetization: 0.52 μB/cell
* crystal system: orthorhombic
* formation energy (no corrections): -0.772 eV per atom
* space-group type: Cmc2_1 (36)

Cell: 4.446 9.263 14.508 Å, 90.00 90.00 103.89°
Site moments in Bohr magnetons follow the coordinates.
Element x y z (fractional)
Na 0.790 0.581 0.522  0.00
Na 0.210 0.419 0.022  0.00
Tl 0.841 0.682 0.806  0.01
Tl 0.099 0.197 0.683  0.00
Tl 0.159 0.318 0.306  0.01
Tl 0.901 0.803 0.183  0.00
Ag 0.524 0.048 0.945  0.07
Ag 0.476 0.952 0.445  0.07
Br 0.379 0.759 0.002  0.03
Br 0.667 0.334 0.885  0.04
Br 0.476 0.951 0.772  0.03
Br 0.277 0.553 0.659  0.01
Br 0.949 0.899 0.550  0.03
Br 0.621 0.241 0.502  0.03
Br 0.333 0.666 0.385  0.04
Br 0.524 0.049 0.272  0.03
Br 0.723 0.447 0.159  0.01
Br 0.051 0.101 0.050  0.03


Entry from Alexandria via LeMat-Bulk: a geometry-optimized Cs2CoW structure (PBE-GGA).

Properties
* total magnetization: 4.90 μB/cell
* crystal system: tetragonal
* space-group type: I-42d (122)
* distance to the lowest polymorph of the same formula: 0.0 meV/atom

Cell: 9.889 9.889 9.889 Å, 92.94 92.94 153.82°
Site moments in Bohr magnetons follow the coordinates.
Element x y z (fractional)
Cs 0.625 0.307 0.182  0.02
Cs 0.125 0.443 0.818  0.02
Cs 0.693 0.875 0.318  0.02
Cs 0.557 0.375 0.682  0.02
Co 0.500 0.500 0.000  -0.40
Co 0.750 0.250 0.500  -0.40
W 0.000 0.000 0.000  1.77
W 0.250 0.750 0.500  1.77


Entry from Alexandria via LeMat-Bulk: a geometry-optimized LaPuSc2 structure (PBE-GGA).

Properties
* total magnetization: 5.80 μB/cell
* crystal system: cubic
* space-group type: Fm-3m (225)
* distance to the lowest polymorph of the same formula: 58.5 meV/atom

Cell: 5.424 5.424 5.424 Å, 60.00 60.00 60.00°
Site moments in Bohr magnetons follow the coordinates.
Element x y z (fractional)
Sc 0.250 0.250 0.250  0.07
Sc 0.750 0.750 0.750  0.07
La 0.500 0.500 0.500  -0.05
Pu 0.000 0.000 0.000  5.39


Entry from Alexandria via LeMat-Bulk: a geometry-optimized MgScSb2 structure (PBE-GGA).

Properties
* total magnetization: 0.00 μB/cell
* crystal system: trigonal
* formation energy (no corrections): -0.499 eV per atom
* space-group type: R-3m (166)

Cell: 7.199 7.199 7.199 Å, 34.18 34.18 34.18°
Element x y z (fractional)
Mg 0.750 0.750 0.750
Sb 0.998 0.998 0.998
Sb 0.502 0.502 0.502
Sc 0.250 0.250 0.250


Entry from Alexandria via LeMat-Bulk: a geometry-optimized RhC3 structure (PBE-GGA).

Properties
* total magnetization: 0.00 μB/cell
* crystal system: orthorhombic
* space-group type: Pmm2 (25)
* distance to the lowest polymorph of the same formula: 561.0 meV/atom

Cell: 2.580 8.439 3.138 Å, 90.00 90.00 90.00°
Site moments in Bohr magnetons follow the coordinates.
Element x y z (fractional)
C 0.000 0.000 0.886  -0.10
C 0.500 0.000 0.885  0.10
C 0.500 0.500 0.698  0.00
Rh 0.000 0.500 0.198  0.00


Entry from Alexandria via LeMat-Bulk: a geometry-optimized Ca2AlW structure (PBE-GGA).

Properties
* total magnetization: 0.82 μB/cell
* crystal system: cubic
* space-group type: F-43m (216)
* total DFT energy (no corrections): -4.51 eV/atom

Cell: 4.993 4.993 4.993 Å, 60.00 60.00 60.00°
Site moments in Bohr magnetons follow the coordinates.
Element x y z (fractional)
Ca 0.000 0.000 0.000  0.00
Ca 0.250 0.250 0.250  -0.02
Al 0.500 0.500 0.500  -0.02
W 0.750 0.750 0.750  0.71